Model P:
Here is crystalline TiTl2Cd at its relaxed geometry from Alexandria via LeMat-Bulk. Energies are from GGA-PBE.

Computed properties:
* space group: P4/mmm, No. 123
* total magnetic moment: 0.00 μB per atom

a = 4.2597 Å, b = 4.5727 Å, c = 4.5727 Å
α = 90.00°, β = 90.00°, γ = 90.00°
Element x y z (fractional)
Cd 0.5000 0.0000 0.0000
Ti 0.5000 0.5000 0.5000
Tl 0.0000 0.5000 0.0000
Tl 0.0000 0.0000 0.5000

Model Q:
Here is crystalline TiTl2Cd at its relaxed geometry from Alexandria via LeMat-Bulk. Energies are from GGA-PBE.

Computed properties:
* space group: I-42d, No. 122
* total magnetic moment: 0.00 μB per atom

a = 7.8822 Å, b = 7.8822 Å, c = 6.4017 Å
α = 52.00°, β = 52.00°, γ = 90.00°
Element x y z (fractional)
Cd 0.0000 0.0000 0.0000
Ti 0.2500 0.7500 0.5000
Cd 0.7500 0.2500 0.5000
Tl 0.6202 0.1250 0.2500
Tl 0.1298 0.6250 0.2500
Tl 0.3750 0.3798 0.7500
Tl 0.8750 0.8702 0.7500
Ti 0.5000 0.5000 0.0000

Model R:
Here is crystalline TiTl2Cd at its relaxed geometry from Alexandria via LeMat-Bulk. Energies are from GGA-PBE.

Computed properties:
* space group: R-3m, No. 166
* total magnetic moment: 0.00 μB per atom

a = 3.2626 Å, b = 3.2626 Å, c = 11.1021 Å
α = 81.55°, β = 81.55°, γ = 60.00°
Element x y z (fractional)
Tl 0.9145 0.9145 0.2565
Ti 0.0000 0.0000 0.0000
Tl 0.0855 0.0855 0.7435
Cd 0.5000 0.5000 0.5000

model P takes first place; second place is 199 meV/atom up.

Model P:
Here is crystalline TiTlCd at its relaxed geometry from Alexandria via LeMat-Bulk. Energies are from GGA-PBE.

Computed properties:
* space group: P1, No. 1
* total magnetic moment: 0.00 μB per atom

a = 3.1381 Å, b = 4.4474 Å, c = 14.8483 Å
α = 107.22°, β = 102.42°, γ = 44.37°
Element x y z (fractional)
Cd 0.6830 0.3747 0.5096
Ti 0.6881 0.0157 0.6545
Tl 0.7012 0.9560 0.1067
Ti 0.6923 0.6358 0.7787
Tl 0.6759 0.6939 0.3266
Cd 0.6973 0.2765 0.9236

Model Q:
Here is crystalline TiTlCd at its relaxed geometry from Alexandria via LeMat-Bulk. Energies are from GGA-PBE.

Computed properties:
* space group: I4mm, No. 107
* total magnetic moment: 0.00 μB per atom

a = 3.1329 Å, b = 3.1329 Å, c = 6.8822 Å
α = 103.16°, β = 103.16°, γ = 90.00°
Element x y z (fractional)
Cd 0.9894 0.9894 0.9787
Tl 0.6754 0.6754 0.3507
Ti 0.3353 0.3353 0.6706

model P takes first place; second place is 133 meV/atom up.

Model P:
Here is crystalline ZrTiTlCd2 at its relaxed geometry from Alexandria via LeMat-Bulk. Energies are from GGA-PBE.

Computed properties:
* space group: P4/mmm, No. 123
* total magnetic moment: 0.00 μB per atom

a = 5.6801 Å, b = 4.7426 Å, c = 5.6801 Å
α = 90.00°, β = 90.00°, γ = 90.00°
Element x y z (fractional)
Cd 0.5000 0.0000 0.0000
Cd 0.0000 0.0000 0.5000
Ti 0.0000 0.5000 0.0000
Zr 0.0000 0.0000 0.0000
Tl 0.5000 0.5000 0.5000

Model Q:
Here is crystalline ZrTiTlCd2 at its relaxed geometry from Alexandria via LeMat-Bulk. Energies are from GGA-PBE.

Computed properties:
* space group: P4/mmm, No. 123
* total magnetic moment: 0.21 μB per atom

a = 5.1055 Å, b = 5.1586 Å, c = 5.1055 Å
α = 90.00°, β = 90.00°, γ = 90.00°
Last column: magnetic moment on the atom in μB.
Element x y z (fractional)
Cd 0.5000 0.0000 0.0000  0.09
Tl 0.0000 0.5000 0.0000  0.02
Ti 0.0000 0.0000 0.0000  0.96
Cd 0.0000 0.0000 0.5000  0.04
Zr 0.5000 0.5000 0.5000  -0.18

model P takes first place; second place is 13 meV/atom up.